(1)
NaEr2NbO6: relaxed, GGA-PBE.

Formation energy without anion corrections ... -3.00 eV per atom
Final energy ... -8.0291 eV per atom

```
data_NaEr2NbO6
_chemical_formula_sum 'Na1 Er2 Nb1 O6'
_space_group_name_H-M_alt 'P 1'
_space_group_IT_number 1
_space_group_name_Hall 'P 1'
_cell_length_a 5.9842
_cell_length_b 5.9842
_cell_length_c 5.9842
_cell_angle_alpha 56.30
_cell_angle_beta 56.30
_cell_angle_gamma 56.30
loop_
_atom_site_label
_atom_site_type_symbol
_atom_site_fract_x
_atom_site_fract_y
_atom_site_fract_z
Na1 Na 0.0000 0.0000 0.0000
Er1 Er 0.2751 0.2751 0.2751
Er2 Er 0.7771 0.7771 0.7771
Nb1 Nb 0.4800 0.4800 0.4800
O1 O 0.1002 0.6435 0.4112
O2 O 0.2175 0.5625 0.8399
O3 O 0.4112 0.1002 0.6435
O4 O 0.5625 0.8399 0.2175
O5 O 0.6435 0.4112 0.1002
O6 O 0.8399 0.2175 0.5625
```


(2)
Na3ErTi2Nb2O12: relaxed, GGA-PBE.

Formation energy without anion corrections ... -2.72 eV per atom
Final energy ... -7.9216 eV per atom

```
data_Na3ErTi2Nb2O12
_chemical_formula_sum 'Na3 Er1 Ti2 Nb2 O12'
_space_group_name_H-M_alt 'P 1'
_space_group_IT_number 1
_space_group_name_Hall 'P 1'
_cell_length_a 5.4429
_cell_length_b 5.6069
_cell_length_c 7.7508
_cell_angle_alpha 89.99
_cell_angle_beta 89.90
_cell_angle_gamma 88.93
loop_
_atom_site_label
_atom_site_type_symbol
_atom_site_fract_x
_atom_site_fract_y
_atom_site_fract_z
Na1 Na 0.0000 0.0000 0.0000
Na2 Na 0.0143 0.9325 0.5026
Na3 Na 0.4923 0.4694 0.0050
Er1 Er 0.4935 0.4033 0.5028
Ti1 Ti 0.5082 0.9454 0.7466
Ti2 Ti 0.9884 0.4537 0.2599
Nb1 Nb 0.5085 0.9469 0.2430
Nb2 Nb 0.9935 0.4649 0.7619
O1 O 0.0643 0.4562 0.0052
O2 O 0.2205 0.2074 0.3051
O3 O 0.2235 0.2063 0.6983
O4 O 0.3134 0.6775 0.3061
O5 O 0.3137 0.6819 0.6986
O6 O 0.4274 0.9684 0.9988
O7 O 0.5798 0.0072 0.5045
O8 O 0.7010 0.2824 0.7738
O9 O 0.7054 0.2801 0.2319
O10 O 0.8023 0.7836 0.7870
O11 O 0.8085 0.7765 0.2129
O12 O 0.8999 0.5079 0.4987
```


(3)
NaNdEr: relaxed, GGA-PBE.

Relative energy among the computed polymorphs ... 0.12 eV/f.u.
Final energy ... -3.3801 eV per atom

```
data_NaNdEr
_chemical_formula_sum 'Na2 Nd2 Er2'
_space_group_name_H-M_alt 'P 1'
_space_group_IT_number 1
_space_group_name_Hall 'P 1'
_cell_length_a 5.6512
_cell_length_b 5.6512
_cell_length_c 7.1860
_cell_angle_alpha 90.00
_cell_angle_beta 90.00
_cell_angle_gamma 60.00
loop_
_atom_site_label
_atom_site_type_symbol
_atom_site_fract_x
_atom_site_fract_y
_atom_site_fract_z
Na1 Na 0.1667 0.1667 0.9997
Na2 Na 0.8333 0.8333 0.0003
Nd1 Nd 0.4993 0.5004 0.7327
Nd2 Nd 0.4996 0.5007 0.2673
Er1 Er 0.1661 0.1675 0.4999
Er2 Er 0.8325 0.8339 0.5001
```


(4)
NaNdEr: relaxed, GGA-PBE.

Relative energy among the computed polymorphs ... 0.06 eV/f.u.
Final energy ... -3.3989 eV per atom

```
data_NaNdEr
_chemical_formula_sum 'Na1 Nd1 Er1'
_space_group_name_H-M_alt 'P 1'
_space_group_IT_number 1
_space_group_name_Hall 'P 1'
_cell_length_a 8.5312
_cell_length_b 8.5312
_cell_length_c 8.5312
_cell_angle_alpha 156.07
_cell_angle_beta 156.07
_cell_angle_gamma 34.09
loop_
_atom_site_label
_atom_site_type_symbol
_atom_site_fract_x
_atom_site_fract_y
_atom_site_fract_z
Na1 Na 0.0000 0.0000 0.0000
Nd1 Nd 0.6784 0.6784 0.0000
Er1 Er 0.3282 0.3282 0.0000
```


(5)
NaNdEr: relaxed, GGA-PBE.

Relative energy among the computed polymorphs ... 0.37 eV/f.u.
Final energy ... -3.2969 eV per atom

```
data_NaNdEr
_chemical_formula_sum 'Na2 Nd2 Er2'
_space_group_name_H-M_alt 'P 1'
_space_group_IT_number 1
_space_group_name_Hall 'P 1'
_cell_length_a 4.1502
_cell_length_b 4.1502
_cell_length_c 11.9719
_cell_angle_alpha 90.00
_cell_angle_beta 90.00
_cell_angle_gamma 90.00
loop_
_atom_site_label
_atom_site_type_symbol
_atom_site_fract_x
_atom_site_fract_y
_atom_site_fract_z
Na1 Na 0.2500 0.7500 0.0000
Na2 Na 0.7500 0.2500 0.0000
Nd1 Nd 0.2500 0.2500 0.2622
Nd2 Nd 0.7500 0.7500 0.7378
Er1 Er 0.2500 0.2500 0.5701
Er2 Er 0.7500 0.7500 0.4299
```


(6)
NaNdEr: relaxed, GGA-PBE.

Relative energy among the computed polymorphs ... 0.00 eV/f.u.
Final energy ... -3.4202 eV per atom

```
data_NaNdEr
_chemical_formula_sum 'Na1 Nd1 Er1'
_space_group_name_H-M_alt 'P 1'
_space_group_IT_number 1
_space_group_name_Hall 'P 1'
_cell_length_a 3.5717
_cell_length_b 3.5717
_cell_length_c 9.2256
_cell_angle_alpha 90.00
_cell_angle_beta 90.00
_cell_angle_gamma 120.00
loop_
_atom_site_label
_atom_site_type_symbol
_atom_site_fract_x
_atom_site_fract_y
_atom_site_fract_z
Na1 Na 0.0000 0.0000 0.0000
Nd1 Nd 0.3333 0.6667 0.6455
Er1 Er 0.6667 0.3333 0.3437
```